# Ac2USe6 | the Alexandria database | PBE | relaxed
data_Ac2USe6
_chemical_formula_sum 'Ac4 U2 Se12'
_cell_length_a 6.9213
_cell_length_b 8.1407
_cell_length_c 11.7602
_cell_angle_alpha 90.00
_cell_angle_beta 123.61
_cell_angle_gamma 90.00
_space_group_name_H-M_alt 'P 1 21/c 1'
_space_group_IT_number 14
loop_
_space_group_symop_operation_xyz
'x,y,z'
'-x,-y,-z'
'-x,y+1/2,-z+1/2'
'x,-y+1/2,z+1/2'
loop_
_atom_site_label
_atom_site_type_symbol
_atom_site_fract_x
_atom_site_fract_y
_atom_site_fract_z
Ac1 Ac 0.2181 0.1060 0.2538
U1 U 0.5000 0.0000 0.0000
Se1 Se 0.1219 0.1668 0.9477
Se2 Se 0.2879 0.7020 0.9455
Se3 Se 0.3432 0.0271 0.7363
# E in eV/cell: -108.9
# Spin magnetization in μB/f.u.: 0.0
# Energy above the lowest structure with this stoichiometry in meV/atom: 0.0
# Formation energy from raw total energies in meV/atom: -1559.4

=====

# BaLiBiPb2 | the Alexandria database | PBE | relaxed
data_BaLiBiPb2
_chemical_formula_sum 'Ba1 Li1 Bi1 Pb2'
_cell_length_a 5.3865
_cell_length_b 5.3865
_cell_length_c 5.4501
_cell_angle_alpha 90.00
_cell_angle_beta 90.00
_cell_angle_gamma 90.00
_space_group_name_H-M_alt 'P 4/m m m'
_space_group_IT_number 123
_space_group_name_Hall '-P 4 2'
loop_
_atom_site_label
_atom_site_type_symbol
_atom_site_fract_x
_atom_site_fract_y
_atom_site_fract_z
Ba1 Ba 0.0000 0.0000 0.0000
Li1 Li 0.5000 0.5000 0.5000
Bi1 Bi 0.5000 0.5000 0.0000
Pb1 Pb 0.0000 0.5000 0.5000
# E in eV/cell: -16.6
# Spin magnetization in μB/f.u.: 0.0
# DOS(E_F) in states/eV/f.u.: 3.0

=====

# ScSiRu4 | the Alexandria database | PBE | relaxed
data_ScSiRu4
_chemical_formula_sum 'Sc4 Si4 Ru16'
_cell_length_a 7.2237
_cell_length_b 7.2237
_cell_length_c 7.2237
_cell_angle_alpha 90.00
_cell_angle_beta 90.00
_cell_angle_gamma 90.00
_space_group_name_H-M_alt 'F -4 3 m'
_space_group_IT_number 216
_space_group_name_Hall 'F -4 2 3'
loop_
_atom_site_label
_atom_site_type_symbol
_atom_site_fract_x
_atom_site_fract_y
_atom_site_fract_z
Sc1 Sc 0.0000 0.0000 0.0000
Si1 Si 0.2500 0.2500 0.7500
Ru1 Ru 0.1242 0.1242 0.3758
# E in eV/cell: -193.3
# Spin magnetization in μB/f.u.: 0.0
# Formation energy from raw total energies in meV/atom: 87.4
# DOS(E_F) in states/eV/f.u.: 8.2

=====

# Ta2RuSe | the Alexandria database | PBE | relaxed
data_Ta2RuSe
_chemical_formula_sum 'Ta4 Ru2 Se2'
_cell_length_a 3.7458
_cell_length_b 3.1550
_cell_length_c 11.4065
_cell_angle_alpha 90.00
_cell_angle_beta 90.00
_cell_angle_gamma 90.00
_space_group_name_H-M_alt 'A m m 2'
_space_group_IT_number 38
loop_
_space_group_symop_operation_xyz
'x,y,z'
'-x,-y,z'
'-x,y,z'
'x,-y,z'
'x,y+1/2,z+1/2'
'-x,-y+1/2,z+1/2'
'-x,y+1/2,z+1/2'
'x,-y+1/2,z+1/2'
loop_
_atom_site_label
_atom_site_type_symbol
_atom_site_fract_x
_atom_site_fract_y
_atom_site_fract_z
Ta1 Ta 0.0000 0.0000 0.0000
Ta2 Ta 0.5000 0.0000 0.3492
Ru1 Ru 0.5000 0.0000 0.6061
Se1 Se 0.0000 0.0000 0.7576
# E in eV/cell: -74.1
# Spin magnetization in μB/f.u.: 0.0
# Formation energy from raw total energies in meV/atom: -147.8
# DOS(E_F) in states/eV/f.u.: 2.4